(1)
VASP calculation (PBE) on a relaxed structure of Li5Mg2Pt.

Lattice parameters (Å, degrees): 5.860 11.677 4.127 90.00 90.00 90.00
Space group Pbam (No. 55)
Inequivalent atoms, fractional coordinates:
Li1 0.000 0.000 0.000
Li2 0.041 0.263 0.000
Li3 0.231 0.872 0.500
Mg1 0.207 0.607 0.500
Pt1 0.000 0.500 0.000

The calculation puts the formation enthalpy at 0 K at -0.269 eV/atom.


(2)
VASP calculation (PBE) on a relaxed structure of Li2Mg2Pt.

Lattice parameters (Å, degrees): 6.744 6.744 4.427 90.00 90.00 90.00
Space group P4/mbm (No. 127)
Inequivalent atoms, fractional coordinates:
Li1 0.171 0.329 0.000
Mg1 0.152 0.652 0.500
Pt1 0.000 0.000 0.500

The calculation puts the formation enthalpy at 0 K at -0.186 eV/atom. The excess energy over the best structure of this formula in the dataset is 219 meV per atom.


Number 1: DOS(E_F) 0.281 states/eV per atom, M_tot 0.00 μB per cell, calculated density 3.3 g cm⁻³. Number 2: DOS(E_F) 0.374 states/eV per atom, M_tot 0.00 μB per cell, calculated density 4.2 g cm⁻³.